No. 1
Here is a relaxed NdPuNpN3 crystal from the Alexandria database. Energies are from PBE-GGA.

Summary:
uncorrected formation energy	-102	kJ per mole of atoms
calculated density	10.64	g cm⁻³
SG	P2_1/m
Fermi-level density of states	22.73	states/eV/cell

Lattice parameters (Å, degrees): 3.4441 6.9943 8.6488 88.50 90.00 90.00
Closest atoms and distances in Å follow each position.
Fractional coordinates of all 12 atoms:
Nd1 0.7500 0.8790 0.8350  7 N 2.60-2.72
Nd2 0.2500 0.1210 0.1650  7 N 2.60-2.72
Pu1 0.2500 0.1996 0.5613  3 N 2.25-2.26
Pu2 0.7500 0.8004 0.4387  3 N 2.25-2.26
Np1 0.2500 0.6189 0.1433  5 N 2.13-2.36
Np2 0.7500 0.3811 0.8567  5 N 2.13-2.36
N1 0.2500 0.8783 0.5913  3 Pu 2.25-2.26
N2 0.7500 0.8443 0.1354  2 Np 2.33, 3 Nd 2.60-2.61
N3 0.7500 0.3946 0.1022  3 Np 2.13-2.36
N4 0.7500 0.1217 0.4087  3 Pu 2.25-2.26
N5 0.2500 0.6054 0.8978  3 Np 2.13-2.36
N6 0.2500 0.1557 0.8646  2 Np 2.33, 3 Nd 2.60-2.61


No. 2
Here is a relaxed Nd2NpReN5 crystal from the Alexandria database. Energies are from PBE-GGA.

Summary:
uncorrected formation energy	-77	kJ per mole of atoms
calculated density	9.88	g cm⁻³
SG	I4/mcm
Fermi-level density of states	23.66	states/eV/cell

Lattice parameters (Å, degrees): 6.7352 6.7352 7.4990 116.68 116.68 90.00
Closest atoms and distances in Å follow each position.
Fractional coordinates of all 18 atoms:
Nd1 0.1722 0.3278 0.0000  4 N 2.42-2.49
Nd2 0.6722 0.1722 0.0000  4 N 2.42-2.49
Nd3 0.3278 0.8278 0.0000  4 N 2.42-2.49
Nd4 0.8278 0.6722 0.0000  4 N 2.42-2.49
Np1 0.2500 0.2500 0.5000  10 N 2.81-2.90
Np2 0.7500 0.7500 0.5000  10 N 2.81-2.90
Re1 0.2500 0.7500 0.5000  4 N 1.85
Re2 0.7500 0.2500 0.5000  4 N 1.85
N1 0.9983 0.4983 0.3002  1 Re 1.85
N2 0.6981 0.1981 0.6998  1 Re 1.85
N3 0.0017 0.5017 0.6998  1 Re 1.85
N4 0.1981 0.0017 0.6998  1 Re 1.85
N5 0.5017 0.6981 0.6998  1 Re 1.85
N6 0.8019 0.9983 0.3002  1 Re 1.85
N7 0.4983 0.3019 0.3002  1 Re 1.85
N8 0.3019 0.8019 0.3002  1 Re 1.85
N9 0.5000 0.5000 0.0000  4 Nd 2.49
N10 0.0000 0.0000 0.0000  4 Nd 2.49


No. 3
Here is a relaxed NdNp2RhN4 crystal from the Alexandria database. Energies are from PBE-GGA.

Summary:
uncorrected formation energy	-89	kJ per mole of atoms
calculated density	11.17	g cm⁻³
SG	Cmcm
Fermi-level density of states	22.05	states/eV/cell

Lattice parameters (Å, degrees): 3.4738 5.9696 11.6437 90.00 90.00 106.92
Closest atoms and distances in Å follow each position.
Fractional coordinates of all 16 atoms:
Nd1 0.1071 0.2142 0.7500  2 N 2.48
Nd2 0.8929 0.7858 0.2500  2 N 2.48
Np1 0.3712 0.7424 0.5561  6 N 2.19-2.44
Np2 0.6288 0.2576 0.0561  6 N 2.19-2.44
Np3 0.6288 0.2576 0.4439  6 N 2.19-2.44
Np4 0.3712 0.7424 0.9439  6 N 2.19-2.44
Rh1 0.8448 0.6897 0.7500  4 N 2.13-2.15
Rh2 0.1552 0.3103 0.2500  4 N 2.13-2.15
N1 0.2664 0.5328 0.1011  1 Rh 2.15, 3 Np 2.19-2.40
N2 0.7336 0.4672 0.6011  1 Rh 2.15, 3 Np 2.19-2.40
N3 0.7336 0.4672 0.8989  1 Rh 2.15, 3 Np 2.19-2.40
N4 0.2664 0.5328 0.3989  1 Rh 2.15, 3 Np 2.19-2.40
N5 0.0000 0.0000 0.5000  4 Np 2.37
N6 0.0000 0.0000 0.0000  4 Np 2.37
N7 0.4526 0.9052 0.7500  2 Rh 2.13
N8 0.5474 0.0948 0.2500  2 Rh 2.13


No. 4
Here is a relaxed Nd2NpRuN4 crystal from the Alexandria database. Energies are from PBE-GGA.

Summary:
uncorrected formation energy	-73	kJ per mole of atoms
calculated density	9.50	g cm⁻³
SG	Cmcm
Fermi-level density of states	10.82	states/eV/cell

Lattice parameters (Å, degrees): 3.3762 6.0949 12.0646 90.00 90.00 106.08
Closest atoms and distances in Å follow each position.
Fractional coordinates of all 16 atoms:
Nd1 0.3685 0.7370 0.5511  4 N 2.37-2.65
Nd2 0.6315 0.2630 0.0511  4 N 2.37-2.65
Nd3 0.6315 0.2630 0.4489  4 N 2.37-2.65
Nd4 0.3685 0.7370 0.9489  4 N 2.37-2.65
Np1 0.1126 0.2252 0.7500  6 N 2.42-2.43
Np2 0.8874 0.7748 0.2500  6 N 2.42-2.43
Ru1 0.8515 0.7030 0.7500  4 N 2.06-2.15
Ru2 0.1485 0.2970 0.2500  4 N 2.06-2.15
N1 0.2859 0.5718 0.1431  1 Ru 2.06
N2 0.7141 0.4282 0.6431  1 Ru 2.06
N3 0.7141 0.4282 0.8569  1 Ru 2.06
N4 0.2859 0.5718 0.3569  1 Ru 2.06
N5 0.0000 0.0000 0.5000  4 Nd 2.37
N6 0.0000 0.0000 0.0000  4 Nd 2.37
N7 0.4645 0.9291 0.7500  2 Ru 2.15
N8 0.5355 0.0709 0.2500  2 Ru 2.15


No. 5
Here is a relaxed NdNp2RuN4 crystal from the Alexandria database. Energies are from PBE-GGA.

Summary:
uncorrected formation energy	-88	kJ per mole of atoms
calculated density	11.27	g cm⁻³
SG	Cmcm
Fermi-level density of states	18.48	states/eV/cell

Lattice parameters (Å, degrees): 3.3875 6.0535 11.6025 90.00 90.00 106.25
Closest atoms and distances in Å follow each position.
Fractional coordinates of all 16 atoms:
Nd1 0.1059 0.2119 0.7500  2 N 2.48
Nd2 0.8941 0.7881 0.2500  2 N 2.48
Np1 0.3704 0.7409 0.5541  6 N 2.22-2.46
Np2 0.6296 0.2591 0.0541  6 N 2.22-2.46
Np3 0.6296 0.2591 0.4459  6 N 2.22-2.46
Np4 0.3704 0.7409 0.9459  6 N 2.22-2.46
Ru1 0.8449 0.6899 0.7500  4 N 2.09-2.12
Ru2 0.1551 0.3101 0.2500  4 N 2.09-2.12
N1 0.2682 0.5365 0.1071  1 Ru 2.12, 1 Np 2.22
N2 0.7318 0.4635 0.6071  1 Ru 2.12, 1 Np 2.22
N3 0.7318 0.4635 0.8929  1 Ru 2.12, 1 Np 2.22
N4 0.2682 0.5365 0.3929  1 Ru 2.12, 1 Np 2.22
N5 0.0000 0.0000 0.5000  4 Np 2.35
N6 0.0000 0.0000 0.0000  4 Np 2.35
N7 0.4506 0.9013 0.7500  2 Ru 2.09
N8 0.5494 0.0987 0.2500  2 Ru 2.09


No. 6
Here is a relaxed NdNpSN2 crystal from the Alexandria database. Energies are from PBE-GGA.

Summary:
uncorrected formation energy	-129	kJ per mole of atoms
calculated density	8.26	g cm⁻³
SG	I4mm
Fermi-level density of states	5.49	states/eV/cell

Lattice parameters (Å, degrees): 3.8078 3.8078 6.6880 106.54 106.54 90.00
Closest atoms and distances in Å follow each position.
Fractional coordinates of all 5 atoms:
Nd1 0.8570 0.8570 0.7141  4 N 2.38
Np1 0.1604 0.1604 0.3207  4 N 2.14
S1 0.5023 0.5023 0.0046  4 Nd 3.23, 4 Np 3.32, 4 N 3.48
N1 0.7402 0.2402 0.4803  2 Np 2.14, 2 Nd 2.38
N2 0.2402 0.7402 0.4803  2 Np 2.14, 2 Nd 2.38


What is the formula in the fourth record? Nd2NpRuN4